1.
First-principles (SCAN) data for a crystal of CaY2TlN relaxed with PBEsol, as listed in the Alexandria database.

Unit cell a=4.7745 b=4.7745 c=4.7968 alpha=90.00 beta=90.00 gamma=90.00
Last column: nearest neighbours and their distance in Å.
Positions (direct):
Ca 0.0000 0.0000 0.0000  2 N 2.40
Y 0.0000 0.5000 0.5000  2 N 2.39
Y 0.5000 0.0000 0.5000  2 N 2.39
Tl 0.5000 0.5000 0.0000  4 Ca 3.38, 8 Y 3.38
N 0.0000 0.0000 0.5000  4 Y 2.39, 2 Ca 2.40

Summary:
ΔE_f (raw) = -1158 meV per atom
crystal system = tetragonal
ρ = 6.63 Mg/m³
magnetic moment = 0.00 μB per formula unit


2.
First-principles (SCAN) data for a crystal of GaSi2C relaxed with PBEsol, as listed in the Alexandria database.

Unit cell a=5.9253 b=5.9253 c=5.9253 alpha=129.63 beta=129.63 gamma=74.00
Last column: nearest neighbours and their distance in Å.
Positions (direct):
Ga 0.0000 0.0000 0.0000  4 Si 2.40
Ga 0.7500 0.2500 0.5000  4 Si 2.40
Si 0.2045 0.6250 0.0795  2 C 1.93
Si 0.3750 0.4545 0.5795  2 C 1.93
Si 0.5455 0.1250 0.9205  2 C 1.93
Si 0.8750 0.7955 0.4205  2 C 1.93
C 0.2500 0.7500 0.5000  4 Si 1.93
C 0.5000 0.5000 0.0000  4 Si 1.93

Summary:
polymorph energy (0 for the lowest one) = 0.000 eV/atom
ΔE_f (raw) = 320 meV per atom
crystal system = tetragonal
ρ = 3.81 Mg/m³
magnetic moment = 0.00 μB per formula unit


3.
First-principles (SCAN) data for a crystal of CdIn2Ag relaxed with PBEsol, as listed in the Alexandria database.

Unit cell a=3.1430 b=3.1430 c=8.7225 alpha=90.00 beta=90.00 gamma=90.00
Last column: nearest neighbours and their distance in Å.
Positions (direct):
Cd 0.0000 0.0000 0.0000  4 Ag 2.90, 4 Cd 3.14, 4 In 3.22
In 0.0000 0.0000 0.5601  4 Ag 2.98, 4 In 3.14
In 0.5000 0.5000 0.2673  8 In 3.14-3.39, 4 Cd 3.22
Ag 0.5000 0.5000 0.7868  4 Cd 2.90, 4 In 2.98, 4 Ag 3.14

Summary:
crystal system = tetragonal
ρ = 8.67 Mg/m³
energy of formation = 0.037 eV/atom
magnetic moment = 0.00 μB per formula unit


4.
First-principles (SCAN) data for a crystal of LaSc4Rh relaxed with PBEsol, as listed in the Alexandria database.

Unit cell a=5.7541 b=5.7541 c=5.7541 alpha=60.00 beta=60.00 gamma=60.00
Last column: nearest neighbours and their distance in Å.
Positions (direct):
La 0.0000 0.0000 0.0000  12 Sc 3.38, 4 Rh 3.52
Sc 0.1287 0.6238 0.6238  6 Sc 2.85-2.91
Sc 0.6238 0.1287 0.6238  6 Sc 2.85-2.91
Sc 0.6238 0.6238 0.1287  6 Sc 2.85-2.91
Sc 0.6238 0.6238 0.6238  6 Sc 2.85-2.91
Rh 0.2500 0.2500 0.2500  12 Sc 3.37, 4 La 3.52

Summary:
crystal system = cubic
ρ = 5.20 Mg/m³
energy of formation = 0.348 eV/atom
magnetic moment = 2.00 μB per formula unit


5.
First-principles (SCAN) data for a crystal of Mn3Cr4 relaxed with PBEsol, as listed in the Alexandria database.

Unit cell a=9.9506 b=9.9506 c=9.9506 alpha=163.92 beta=163.92 gamma=22.81
Last column: nearest neighbours and their distance in Å.
Positions (direct):
Mn 0.0000 0.0000 0.0000  8 Cr 2.42
Mn 0.2876 0.2876 0.0000  4 Cr 2.39, 4 Mn 2.45
Mn 0.7124 0.7124 0.0000  4 Cr 2.39, 4 Mn 2.45
Cr 0.1431 0.1431 0.0000  4 Mn 2.39, 4 Cr 2.40
Cr 0.4277 0.4277 0.0000  4 Cr 2.40, 4 Mn 2.42
Cr 0.5723 0.5723 0.0000  4 Cr 2.40, 4 Mn 2.42
Cr 0.8569 0.8569 0.0000  4 Mn 2.39, 4 Cr 2.40

Summary:
crystal system = tetragonal
ρ = 8.19 Mg/m³
energy of formation = -0.038 eV/atom
magnetic moment = 3.03 μB per formula unit


6.
First-principles (SCAN) data for a crystal of BaLa2Pb relaxed with PBEsol, as listed in the Alexandria database.

Unit cell a=4.2705 b=4.2705 c=7.7032 alpha=90.00 beta=90.00 gamma=90.00
Last column: nearest neighbours and their distance in Å.
Positions (direct):
Ba 0.0000 0.0000 0.0000  8 La 3.80, 2 Pb 3.85
La 0.5000 0.5000 0.2995  1 La 3.09, 4 Pb 3.39
La 0.5000 0.5000 0.7005  1 La 3.09, 4 Pb 3.39
Pb 0.0000 0.0000 0.5000  8 La 3.39

Summary:
crystal system = tetragonal
ρ = 7.36 Mg/m³
energy of formation = -0.364 eV/atom
magnetic moment = 0.00 μB per formula unit


7.
First-principles (SCAN) data for a crystal of NiMoP8 relaxed with PBEsol, as listed in the Alexandria database.

Unit cell a=6.1807 b=6.1807 c=8.6850 alpha=90.00 beta=90.00 gamma=120.00
Last column: nearest neighbours and their distance in Å.
Positions (direct):
Ni 0.0000 0.0000 0.0000  6 P 2.28
Ni 0.0000 0.0000 0.5000  6 P 2.28
Mo 0.3333 0.6667 0.2500  8 P 2.48-2.52
Mo 0.6667 0.3333 0.7500  8 P 2.48-2.52
P 0.0428 0.3190 0.8472  2 P 2.22-2.24, 1 Ni 2.28
P 0.0428 0.7239 0.6528  2 P 2.22-2.24, 1 Ni 2.28
P 0.2761 0.3190 0.6528  2 P 2.22-2.24, 1 Ni 2.28
P 0.2761 0.9572 0.8472  2 P 2.22-2.24, 1 Ni 2.28
P 0.3190 0.0428 0.3472  2 P 2.22-2.24, 1 Ni 2.28
P 0.3190 0.2761 0.1528  2 P 2.22-2.24, 1 Ni 2.28
P 0.3333 0.6667 0.5355  3 P 2.24, 1 Mo 2.48
P 0.3333 0.6667 0.9645  3 P 2.24, 1 Mo 2.48
P 0.6667 0.3333 0.0355  3 P 2.24, 1 Mo 2.48
P 0.6667 0.3333 0.4645  3 P 2.24, 1 Mo 2.48
P 0.6810 0.7239 0.8472  2 P 2.22-2.24, 1 Ni 2.28
P 0.6810 0.9572 0.6528  2 P 2.22-2.24, 1 Ni 2.28
P 0.7239 0.0428 0.1528  2 P 2.22-2.24, 1 Ni 2.28
P 0.7239 0.6810 0.3472  2 P 2.22-2.24, 1 Ni 2.28
P 0.9572 0.2761 0.3472  2 P 2.22-2.24, 1 Ni 2.28
P 0.9572 0.6810 0.1528  2 P 2.22-2.24, 1 Ni 2.28

Summary:
crystal system = trigonal
ρ = 4.65 Mg/m³
energy of formation = -0.306 eV/atom
magnetic moment = 0.00 μB per formula unit


8.
First-principles (SCAN) data for a crystal of Mg2Ag3 relaxed with PBEsol, as listed in the Alexandria database.

Unit cell a=7.8055 b=7.8055 c=7.8055 alpha=157.40 beta=150.80 gamma=37.24
Last column: nearest neighbours and their distance in Å.
Positions (direct):
Mg 0.1893 0.1893 0.0000  6 Ag 2.80-3.13, 6 Mg 3.06-3.07
Mg 0.8107 0.8107 0.0000  6 Ag 2.80-3.13, 6 Mg 3.06-3.07
Ag 0.0000 0.0000 0.0000  2 Mg 2.80, 10 Ag 2.89-3.06
Ag 0.4009 0.4009 0.0000  5 Mg 2.83-3.13, 7 Ag 2.89-3.06
Ag 0.5991 0.5991 0.0000  5 Mg 2.83-3.13, 7 Ag 2.89-3.06

Summary:
polymorph energy (0 for the lowest one) = 0.085 eV/atom
crystal system = orthorhombic
ρ = 6.94 Mg/m³
energy of formation = -0.134 eV/atom
magnetic moment = 0.00 μB per formula unit


9.
First-principles (SCAN) data for a crystal of Ca2MoOs relaxed with PBEsol, as listed in the Alexandria database.

Unit cell a=3.8836 b=3.8836 c=4.9556 alpha=90.00 beta=90.00 gamma=90.00
Last column: nearest neighbours and their distance in Å.
Positions (direct):
Ca 0.0000 0.5000 0.0000  4 Ca 2.75
Ca 0.5000 0.0000 0.0000  4 Ca 2.75
Mo 0.0000 0.0000 0.5000  4 Os 2.75
Os 0.5000 0.5000 0.5000  4 Mo 2.75

Summary:
polymorph energy (0 for the lowest one) = 0.000 eV/atom
crystal system = tetragonal
ρ = 8.14 Mg/m³
energy of formation = 0.734 eV/atom
magnetic moment = 0.00 μB per formula unit


10.
First-principles (SCAN) data for a crystal of RbTlSe2 relaxed with PBEsol, as listed in the Alexandria database.

Unit cell a=8.2489 b=8.2489 c=16.3436 alpha=97.98 beta=97.98 gamma=90.01
Last column: nearest neighbours and their distance in Å.
Positions (direct):
Rb 0.1595 0.7893 0.6076  7 Se 3.41-3.70
Rb 0.2058 0.3454 0.8794  7 Se 3.50-3.67
Rb 0.2107 0.8405 0.8924  7 Se 3.41-3.70
Rb 0.3454 0.2058 0.3794  7 Se 3.50-3.67
Rb 0.6546 0.7942 0.6206  7 Se 3.50-3.67
Rb 0.7893 0.1595 0.1076  7 Se 3.41-3.70
Rb 0.7942 0.6546 0.1206  7 Se 3.50-3.67
Rb 0.8405 0.2107 0.3924  7 Se 3.41-3.70
Tl 0.0831 0.7271 0.3453  4 Se 2.64-2.67
Tl 0.2729 0.9169 0.1547  4 Se 2.64-2.67
Tl 0.2761 0.4182 0.1634  4 Se 2.65-2.68
Tl 0.4182 0.2761 0.6634  4 Se 2.65-2.68
Tl 0.5818 0.7239 0.3366  4 Se 2.65-2.68
Tl 0.7239 0.5818 0.8366  4 Se 2.65-2.68
Tl 0.7271 0.0831 0.8453  4 Se 2.64-2.67
Tl 0.9169 0.2729 0.6547  4 Se 2.64-2.67
Se 0.0351 0.9649 0.2500  2 Tl 2.67
Se 0.0445 0.4261 0.2641  2 Tl 2.64-2.68
Se 0.1462 0.2116 0.5557  2 Tl 2.66
Se 0.2021 0.6333 0.0588  2 Tl 2.65
Se 0.2116 0.1462 0.0557  2 Tl 2.66
Se 0.3667 0.7979 0.4412  2 Tl 2.65
Se 0.4261 0.0445 0.7641  2 Tl 2.64-2.68
Se 0.4259 0.5741 0.7500  2 Tl 2.66
Se 0.5741 0.4259 0.2500  2 Tl 2.66
Se 0.5739 0.9555 0.2359  2 Tl 2.64-2.68
Se 0.6333 0.2021 0.5588  2 Tl 2.65
Se 0.7884 0.8538 0.9443  2 Tl 2.66
Se 0.7979 0.3667 0.9412  2 Tl 2.65
Se 0.8538 0.7884 0.4443  2 Tl 2.66
Se 0.9555 0.5739 0.7359  2 Tl 2.64-2.68
Se 0.9649 0.0351 0.7500  2 Tl 2.67

Summary:
polymorph energy (0 for the lowest one) = 0.000 eV/atom
ΔE_f (raw) = -765 meV per atom
crystal system = monoclinic
ρ = 5.46 Mg/m³
magnetic moment = 0.00 μB per formula unit


11.
First-principles (SCAN) data for a crystal of MgAsOs2 relaxed with PBEsol, as listed in the Alexandria database.

Unit cell a=4.5879 b=4.5879 c=4.8186 alpha=98.42 beta=98.42 gamma=36.09
Last column: nearest neighbours and their distance in Å.
Positions (direct):
Mg 0.0000 0.0000 0.0000  6 Os 2.66-2.77, 4 As 2.80, 2 Mg 2.84
As 0.5000 0.5000 0.5000  6 Os 2.64-2.68, 4 Mg 2.80, 2 As 2.84
Os 0.2466 0.2466 0.7357  3 As 2.64-2.68, 3 Mg 2.66-2.77, 6 Os 2.69-2.91
Os 0.7534 0.7534 0.2643  3 As 2.64-2.68, 3 Mg 2.66-2.77, 6 Os 2.69-2.91

Summary:
polymorph energy (0 for the lowest one) = 0.000 eV/atom
crystal system = monoclinic
ρ = 13.49 Mg/m³
energy of formation = 0.253 eV/atom
magnetic moment = 0.00 μB per formula unit


12.
First-principles (SCAN) data for a crystal of BaIrOF2 relaxed with PBEsol, as listed in the Alexandria database.

Unit cell a=4.8141 b=4.8141 c=4.9954 alpha=90.00 beta=90.00 gamma=90.00
Last column: nearest neighbours and their distance in Å.
Positions (direct):
Ba 0.0000 0.0000 0.0000  4 F 2.41, 2 O 2.50
Ir 0.5000 0.5000 0.5000  4 O 3.40, 8 F 3.47
O 0.0000 0.0000 0.5000  2 Ba 2.50
F 0.0000 0.5000 0.0000  2 Ba 2.41
F 0.5000 0.0000 0.0000  2 Ba 2.41

Summary:
ΔE_f (raw) = -441 meV per atom
crystal system = tetragonal
ρ = 5.50 Mg/m³
magnetic moment = 4.88 μB per formula unit


- The lowest ρ belongs to which entry?
  GaSi2C